A plane-wave DFT calculation with GGA-PBE was carried out for NdHoGaNi2 after structural relaxation. Values from VASP.

Quantum ESPRESSO input file:
```
&SYSTEM
  ibrav = 0, nat = 5, ntyp = 4
/
ATOMIC_SPECIES
Nd 144.24 Nd.upf
Ho 164.93 Ho.upf
Ga 69.72 Ga.upf
Ni 58.69 Ni.upf
CELL_PARAMETERS angstrom
-2.111 2.697 4.174
2.111 -2.697 4.174
2.111 2.697 -4.174
ATOMIC_POSITIONS crystal
Nd 0.000 0.000 0.000
Ho 0.405 0.405 0.000
Ga 0.702 0.202 0.500
Ni 0.436 0.703 0.733
Ni 0.971 0.703 0.267
```

Results
Its total energy is -5.224 eV per atom.

---

A plane-wave DFT calculation with GGA-PBE was carried out for LuUNi after structural relaxation. Values from VASP.

Quantum ESPRESSO input file:
```
&SYSTEM
  ibrav = 0, nat = 3, ntyp = 3
/
ATOMIC_SPECIES
Lu 174.97 Lu.upf
U 238.03 U.upf
Ni 58.69 Ni.upf
CELL_PARAMETERS angstrom
0.000 3.251 3.251
3.251 0.000 3.251
3.251 3.251 0.000
ATOMIC_POSITIONS crystal
Lu 0.000 0.000 0.000
U 0.500 0.500 0.500
Ni 0.750 0.750 0.750
```

Results
As for the energy above the most stable polymorph in this dataset: 0 meV/atom. The calculation puts the energy of formation from the pure elements at 0.3319 eV per atom.

---

A plane-wave DFT calculation with GGA-PBE was carried out for SmHgBi after structural relaxation. Values from VASP.

Quantum ESPRESSO input file:
```
&SYSTEM
  ibrav = 0, nat = 3, ntyp = 3
/
ATOMIC_SPECIES
Sm 150.36 Sm.upf
Hg 200.59 Hg.upf
Bi 208.98 Bi.upf
CELL_PARAMETERS angstrom
0.000 3.705 3.705
3.705 0.000 3.705
3.705 3.705 0.000
ATOMIC_POSITIONS crystal
Sm 0.000 0.000 0.000
Hg 0.500 0.500 0.500
Bi 0.750 0.750 0.750
```

Results
As for the energy above the most stable polymorph in this dataset: 275 meV/atom.

---

A plane-wave DFT calculation with GGA-PBE was carried out for HoTmSi2Mo2C after structural relaxation. Values from VASP.

Quantum ESPRESSO input file:
```
&SYSTEM
  ibrav = 0, nat = 7, ntyp = 5
/
ATOMIC_SPECIES
Ho 164.93 Ho.upf
Tm 168.93 Tm.upf
Si 28.09 Si.upf
Mo 95.94 Mo.upf
C 12.01 C.upf
CELL_PARAMETERS angstrom
5.561 -1.892 0.000
5.561 1.892 0.000
-4.131 0.000 5.770
ATOMIC_POSITIONS crystal
Ho 0.000 0.000 0.000
Tm 0.851 0.851 0.410
Si 0.294 0.294 0.043
Si 0.555 0.555 0.367
Mo 0.219 0.219 0.619
Mo 0.631 0.631 0.789
C 0.424 0.424 0.703
```

Results
Its total energy is -7.856 eV per atom.

---

A plane-wave DFT calculation with GGA-PBE was carried out for Cu2GeBi after structural relaxation. Values from VASP.

Quantum ESPRESSO input file:
```
&SYSTEM
  ibrav = 0, nat = 16, ntyp = 3
/
ATOMIC_SPECIES
Cu 63.55 Cu.upf
Ge 72.64 Ge.upf
Bi 208.98 Bi.upf
CELL_PARAMETERS angstrom
6.654 0.000 0.000
0.000 6.654 0.000
0.000 0.000 6.654
ATOMIC_POSITIONS crystal
Cu 0.215 0.215 0.215
Cu 0.215 0.215 0.785
Cu 0.215 0.785 0.215
Cu 0.215 0.785 0.785
Cu 0.785 0.215 0.215
Cu 0.785 0.215 0.785
Cu 0.785 0.785 0.215
Cu 0.785 0.785 0.785
Ge 0.000 0.000 0.000
Ge 0.000 0.000 0.500
Ge 0.000 0.500 0.000
Ge 0.500 0.000 0.000
Bi 0.000 0.500 0.500
Bi 0.500 0.000 0.500
Bi 0.500 0.500 0.000
Bi 0.500 0.500 0.500
```

Results
Its total energy is -3.784 eV per atom.

---

A plane-wave DFT calculation with GGA-PBE was carried out for Zr3CuB2 after structural relaxation. Values from VASP.

Quantum ESPRESSO input file:
```
&SYSTEM
  ibrav = 0, nat = 12, ntyp = 3
/
ATOMIC_SPECIES
Zr 91.22 Zr.upf
Cu 63.55 Cu.upf
B 10.81 B.upf
CELL_PARAMETERS angstrom
3.450 0.000 0.000
-1.725 2.988 0.000
0.000 0.000 19.068
ATOMIC_POSITIONS crystal
Zr 0.000 0.000 0.000
Zr 0.000 0.000 0.500
Zr 0.333 0.667 0.144
Zr 0.333 0.667 0.356
Zr 0.667 0.333 0.644
Zr 0.667 0.333 0.856
Cu 0.000 0.000 0.250
Cu 0.000 0.000 0.750
B 0.333 0.667 0.577
B 0.333 0.667 0.923
B 0.667 0.333 0.077
B 0.667 0.333 0.423
```

Results
Its total energy is -7.382 eV per atom.